This record from the Alexandria database describes an optimized crystal structure of Nd2PuScBi4. The functional is PBE-GGA.

Cell and atoms, written as extended XYZ:
```
8
Lattice="4.521 0.000 0.000 0.000 7.802 0.136 0.000 -2.726 7.311" Properties=species:S:1:pos:R:3 pbc="T T T"
Bi 2.260 3.863 5.716
Bi 0.000 5.230 1.842
Bi 0.000 -0.154 5.605
Sc 0.000 0.000 0.000
Pu 2.260 3.901 0.068
Nd 2.260 -1.363 3.656
Nd 0.000 2.538 3.724
Bi 2.260 1.214 1.731
```

Properties
For the uncorrected energy, the calculation gives -6.41 eV/atom. The value obtained for the total magnetization is 5.13 μB per cell. The formation enthalpy at 0 K is -0.6978 eV/atom. For the density, the calculation gives 9.04 g cm⁻³. The value obtained for the volume is 32.4 Å³/atom. Its space group is P2/m, No. 10. The crystal system is monoclinic.